# 1
Computed, not measured: Na2Y2TeO6 after structural relaxation at the PBE level of DFT.

As for the spin magnetization: 0.00 μB per formula unit. The calculation puts the formation energy (no corrections) at -2.25 eV/atom. Its symmetry is C2/m (12).

```
11
Lattice="-2.0516 -0.8397 -5.4976 5.5239 -1.6475 1.3822 -2.9455 -4.3634 2.7310" Properties=species:S:1:pos:R:3 pbc="T T T"
Te -1.4728 -2.1817 1.3655
O 3.0985 -3.3891 -1.2470
O -0.0027 -1.9315 -0.2238
Na -0.8379 -0.9691 -4.3954
Y 1.5090 -3.5581 0.4390
Na 4.3102 -1.5180 0.2799
Y -0.9822 -3.2925 -1.8234
O 0.5634 -3.1188 -3.5493
O -2.5717 -3.4615 -0.1374
O 0.5295 -4.9191 -1.1606
O -0.0366 -3.7318 2.1649
```

=====

# 2
Computed, not measured: PmPrEr2 after structural relaxation at the PBE level of DFT.

The calculation puts the energy relative to the elements at 9 kJ/mol of formula units. As for the spin magnetization: 0.00 μB per formula unit. Its symmetry is P4/mmm (123). For the energy relative to the lowest polymorph listed for this composition, the calculation gives 19 meV/atom.

```
4
Lattice="5.0198 0.0000 0.0000 0.0000 5.1103 0.0000 0.0000 0.0000 5.1103" Properties=species:S:1:pos:R:3 pbc="T T T"
Pm 2.5099 0.0000 0.0000
Pr 2.5099 2.5551 2.5551
Er 0.0000 2.5551 0.0000
Er 0.0000 0.0000 2.5551
```

=====

# 3
Computed, not measured: Th5Tl2Co after structural relaxation at the PBE level of DFT.

The calculation puts the energy relative to the elements at -97 kJ/mol of formula units. As for the spin magnetization: 0.00 μB per formula unit. Its symmetry is Pbam (55).

```
16
Lattice="4.6539 0.0000 0.0000 0.0000 8.1519 0.0000 0.0000 0.0000 12.4177" Properties=species:S:1:pos:R:3 pbc="T T T"
Co 0.0000 0.0000 0.0000
Tl 2.3269 3.4085 10.2292
Th 0.0000 3.0134 3.7909
Th 2.3269 6.6434 11.6455
Th 2.3269 2.5675 6.9810
Th 0.0000 4.0759 0.0000
Tl 2.3269 7.4844 8.3973
Co 0.0000 4.0759 6.2088
Th 0.0000 1.0625 9.9997
Tl 2.3269 4.7434 2.1885
Th 0.0000 7.0893 2.4179
Th 0.0000 0.0000 6.2088
Th 2.3269 1.5085 0.7722
Th 0.0000 5.1384 8.6268
Tl 2.3269 0.6674 4.0203
Th 2.3269 5.5844 5.4367
```